An optimized crystal structure of AcLa4Pr7. Source: Alexandria, functional PBE.

Calculated values
crystal system: monoclinic
magnetic moment: 0.00 μB/f.u.
E_form: 224 meV per atom

abc: 7.031 7.031 13.129
angles: 114.68 114.68 53.80
Element x y z (fractional)
1 Ac 0.000 0.000 0.000
2 La 0.142 0.142 0.776
3 La 0.432 0.432 0.677
4 La 0.568 0.568 0.323
5 La 0.858 0.858 0.224
6 Pr 0.130 0.130 0.499
7 Pr 0.271 0.271 0.330
8 Pr 0.296 0.296 0.080
9 Pr 0.500 0.500 0.000
10 Pr 0.704 0.704 0.920
11 Pr 0.729 0.729 0.670
12 Pr 0.870 0.870 0.501